Below is a relaxed DyTm6Pd2 crystal, with properties calculated at the PBE level.

a b c (Å): 3.6345 8.1375 8.5630
angles (deg): 79.44 77.75 77.10
With the nearest neighbours (Å) after each atom.
Element x y z (fractional)
Pd 0.4043 0.4229 0.7685  5 Tm 2.86-3.05, 2 Dy 2.89
Pd 0.5957 0.5771 0.2315  5 Tm 2.86-3.05, 2 Dy 2.89
Tm 0.9667 0.8770 0.1897  2 Pd 2.97
Tm 0.6935 0.1665 0.4465  7 Tm 3.23-3.52, 2 Dy 3.29, 2 Pd 3.49-3.60
Tm 0.2878 0.3149 0.1095  3 Pd 2.86-3.05
Tm 0.7122 0.6851 0.8905  3 Pd 2.86-3.05
Tm 0.3065 0.8335 0.5535  7 Tm 3.23-3.52, 2 Dy 3.29, 2 Pd 3.49-3.60
Tm 0.0333 0.1230 0.8103  2 Pd 2.97
Dy 0.0000 0.5000 0.5000  4 Pd 2.89

Values from the calculation:
Its total moment is 0.000 μB/atom. Its energy of formation is -0.3875 eV per atom. The calculation puts the density of states at the Fermi level at 9.70 states/eV/f.u.

---

Below is a relaxed AcLa6Pr2 crystal, with properties calculated at the PBE level.

a b c (Å): 7.7579 7.7579 7.7579
angles (deg): 115.40 115.40 98.16
With the nearest neighbours (Å) after each atom.
Element x y z (fractional)
Pr 0.7500 0.2500 0.5000  12 La 3.89-4.19
Pr 0.2500 0.7500 0.5000  12 La 3.89-4.19
La 0.2713 0.7287 0.0000  1 Ac 3.18, 2 La 3.30
La 0.2713 0.2713 0.5427  1 Ac 3.18, 2 La 3.30
La 0.6888 0.6888 0.0000  1 Ac 3.16, 4 La 3.30
La 0.7287 0.2713 0.0000  1 Ac 3.18, 2 La 3.30
La 0.7287 0.7287 0.4573  1 Ac 3.18, 2 La 3.30
La 0.3112 0.3112 0.0000  1 Ac 3.16, 4 La 3.30
Ac 0.0000 0.0000 0.0000  6 La 3.16-3.18

Values from the calculation:
Its total moment is 0.000 μB/atom. Its energy of formation is 0.3084 eV per atom. The calculation puts the density of states at the Fermi level at 12.06 states/eV/f.u. The relative energy among the computed polymorphs comes out at 97 meV per atom.

---

Below is a relaxed CoGe2Pt2 crystal, with properties calculated at the PBE level.

a b c (Å): 6.5977 6.5977 3.5034
angles (deg): 90.00 90.00 90.00
With the nearest neighbours (Å) after each atom.
Element x y z (fractional)
Ge 0.1534 0.3466 0.0000  2 Co 2.50, 6 Pt 2.53-2.67
Ge 0.8466 0.6534 0.0000  2 Co 2.50, 6 Pt 2.53-2.67
Ge 0.6534 0.1534 0.0000  2 Co 2.50, 6 Pt 2.53-2.67
Ge 0.3466 0.8466 0.0000  2 Co 2.50, 6 Pt 2.53-2.67
Pt 0.6510 0.8490 0.5000  6 Ge 2.53-2.67, 1 Pt 2.82
Pt 0.3490 0.1510 0.5000  6 Ge 2.53-2.67, 1 Pt 2.82
Pt 0.8490 0.3490 0.5000  6 Ge 2.53-2.67, 1 Pt 2.82
Pt 0.1510 0.6510 0.5000  6 Ge 2.53-2.67, 1 Pt 2.82
Co 0.5000 0.5000 0.0000  4 Ge 2.50
Co 0.0000 0.0000 0.0000  4 Ge 2.50

Values from the calculation:
Its total moment is 0.152 μB/atom. Its energy of formation is -0.0212 eV per atom. The calculation puts the density of states at the Fermi level at 3.08 states/eV/f.u. The relative energy among the computed polymorphs comes out at 0 meV per atom.

---

Below is a relaxed Pr3CoBr2 crystal, with properties calculated at the PBE level.

a b c (Å): 3.8920 6.0943 8.0949
angles (deg): 112.11 103.91 90.00
With the nearest neighbours (Å) after each atom.
Element x y z (fractional)
Pr 0.0000 0.0000 0.0000  2 Co 3.05, 4 Br 3.24
Pr 0.3745 0.3745 0.7491  2 Co 2.66
Pr 0.6255 0.6255 0.2509  2 Co 2.66
Br 0.6785 0.1785 0.3569  6 Pr 3.14-3.44
Br 0.3215 0.8215 0.6431  6 Pr 3.14-3.44
Co 0.0000 0.5000 0.0000  4 Pr 2.66

Values from the calculation:
Its total moment is 0.080 μB/atom. The formation energy from raw total energies is -0.880 eV/atom. The calculation puts the density of states at the Fermi level at 4.25 states/eV/f.u.

---

Below is a relaxed Cs4HAu2Br crystal, with properties calculated at the PBE level.

a b c (Å): 5.0686 8.7927 8.8631
angles (deg): 109.16 90.00 90.00
With the nearest neighbours (Å) after each atom.
Element x y z (fractional)
H 0.0000 0.0000 0.0000  6 Cs 3.43-3.47
Br 0.5000 0.5000 0.0000  6 Cs 3.59-3.60
Au 0.5000 0.0000 0.5000  6 Cs 3.61
Au 0.0000 0.5000 0.5000  6 Cs 3.74-3.77
Cs 0.5000 0.7681 0.7689  2 H 3.47, 1 Br 3.59, 3 Au 3.61-3.74
Cs 0.0000 0.7610 0.2376  1 H 3.43, 2 Br 3.60, 3 Au 3.61-3.77
Cs 0.5000 0.2319 0.2311  2 H 3.47, 1 Br 3.59, 3 Au 3.61-3.74
Cs 0.0000 0.2390 0.7624  1 H 3.43, 2 Br 3.60, 3 Au 3.61-3.77

Values from the calculation:
Its total energy is -2.50 eV per atom. Its total moment is 0.006 μB/atom. The calculation puts the density of states at the Fermi level at 0.00 states/eV/f.u.

---

Below is a relaxed CaMn2Be crystal, with properties calculated at the PBE level.

a b c (Å): 3.9808 3.9808 5.6173
angles (deg): 69.26 69.26 60.01
With the nearest neighbours (Å) after each atom.
Element x y z (fractional)
Ca 0.2518 0.2518 0.2446  1 Be 2.87, 4 Mn 2.92-3.19
Mn 0.0621 0.0621 0.8139  3 Mn 2.32, 3 Be 2.39
Mn 0.7479 0.7479 0.7563  3 Mn 2.32, 3 Be 2.33
Be 0.4383 0.4383 0.6852  6 Mn 2.33-2.39

Values from the calculation:
Its total moment is 0.027 μB/atom. Its energy of formation is 0.1636 eV per atom. The calculation puts the density of states at the Fermi level at 2.55 states/eV/f.u.

---

Below is a relaxed Dy12Tm5Sc2 crystal, with properties calculated at the PBE level.

a b c (Å): 9.0322 8.9655 8.4156
angles (deg): 91.23 90.00 120.25
With the nearest neighbours (Å) after each atom.
Element x y z (fractional)
Dy 0.5686 0.7465 0.3259  4 Tm 3.33-3.66, 5 Dy 3.35-3.53, 1 Sc 3.42
Dy 0.1779 0.7465 0.3259  4 Tm 3.33-3.66, 5 Dy 3.35-3.53, 1 Sc 3.42
Dy 0.5577 0.1153 0.3369  7 Dy 3.31-3.49, 2 Tm 3.33-3.51, 2 Sc 3.33
Dy 0.4314 0.2535 0.6741  4 Tm 3.33-3.66, 5 Dy 3.35-3.53, 1 Sc 3.42
Dy 0.3352 0.3031 0.2384  4 Dy 3.32-3.52, 1 Sc 3.32, 4 Tm 3.46-3.66
Dy 0.9137 0.8275 0.1137  5 Dy 3.33-3.52, 2 Sc 3.41, 3 Tm 3.41-3.53
Dy 0.8221 0.2535 0.6741  4 Tm 3.33-3.66, 5 Dy 3.35-3.53, 1 Sc 3.42
Dy 0.6648 0.6969 0.7616  4 Dy 3.32-3.52, 1 Sc 3.32, 4 Tm 3.46-3.66
Dy 0.0320 0.6969 0.7616  4 Dy 3.32-3.52, 1 Sc 3.32, 4 Tm 3.46-3.66
Dy 0.4423 0.8847 0.6631  7 Dy 3.31-3.49, 2 Tm 3.33-3.51, 2 Sc 3.33
Dy 0.9680 0.3031 0.2384  4 Dy 3.32-3.52, 1 Sc 3.32, 4 Tm 3.46-3.66
Dy 0.0863 0.1725 0.8863  5 Dy 3.33-3.52, 2 Sc 3.41, 3 Tm 3.41-3.53
Sc 0.6701 0.0000 0.0000  1 Sc 3.07, 8 Dy 3.32-3.42, 2 Tm 3.44
Sc 0.3299 0.0000 0.0000  1 Sc 3.07, 8 Dy 3.32-3.42, 2 Tm 3.44
Tm 0.7677 0.5353 0.4292  10 Dy 3.33-3.72, 2 Tm 3.61-3.63
Tm 0.2323 0.4647 0.5708  10 Dy 3.33-3.72, 2 Tm 3.61-3.63
Tm 0.0000 0.0000 0.5000  10 Dy 3.48-3.66, 2 Tm 3.63
Tm 0.3015 0.6031 0.9834  8 Dy 3.41-3.61, 2 Sc 3.44, 1 Tm 3.61
Tm 0.6985 0.3969 0.0166  8 Dy 3.41-3.61, 2 Sc 3.44, 1 Tm 3.61

Values from the calculation:
Its total moment is 0.000 μB/atom. Its energy of formation is 0.1231 eV per atom. The calculation puts the density of states at the Fermi level at 30.90 states/eV/f.u. The relative energy among the computed polymorphs comes out at 33 meV per atom.

---

Below is a relaxed VAsPPb2 crystal, with properties calculated at the PBE level.

a b c (Å): 5.6075 4.6971 5.6075
angles (deg): 90.00 90.00 90.00
With the nearest neighbours (Å) after each atom.
Element x y z (fractional)
P 0.5000 0.5000 0.5000  8 Pb 3.66, 4 V 3.97
As 0.0000 0.0000 0.0000  2 V 2.35
Pb 0.5000 0.0000 0.0000  2 As 2.80
Pb 0.0000 0.0000 0.5000  2 As 2.80
V 0.0000 0.5000 0.0000  2 As 2.35

Values from the calculation:
Its total moment is 0.578 μB/atom. Its energy of formation is 0.7980 eV per atom. The calculation puts the density of states at the Fermi level at 3.59 states/eV/f.u.

---

Below is a relaxed RbU2CuSe6 crystal, with properties calculated at the PBE level.

a b c (Å): 7.3047 9.7957 9.7957
angles (deg): 78.87 68.90 68.90
With the nearest neighbours (Å) after each atom.
Element x y z (fractional)
Se 0.7752 0.6314 0.1141  1 Cu 2.60, 2 U 2.73-2.83
Se 0.2173 0.8259 0.9384  1 Cu 2.67, 2 U 2.80-2.82
Se 0.8655 0.5965 0.6710  2 U 2.71-2.72
Se 0.1345 0.4035 0.3290  2 U 2.71-2.72
Se 0.2248 0.3686 0.8859  1 Cu 2.60, 2 U 2.73-2.83
Se 0.2752 0.1141 0.6314  1 Cu 2.60, 2 U 2.73-2.83
Se 0.7248 0.8859 0.3686  1 Cu 2.60, 2 U 2.73-2.83
Se 0.6345 0.3290 0.4035  2 U 2.71-2.72
Se 0.2827 0.0616 0.1741  1 Cu 2.67, 2 U 2.80-2.82
Se 0.3655 0.6710 0.5965  2 U 2.71-2.72
Se 0.7827 0.1741 0.0616  1 Cu 2.67, 2 U 2.80-2.82
Se 0.7173 0.9384 0.8259  1 Cu 2.67, 2 U 2.80-2.82
Rb 0.2500 0.7109 0.2891  6 Se 3.33-3.47
Rb 0.7500 0.2891 0.7109  6 Se 3.33-3.47
U 0.9682 0.3263 0.1607  6 Se 2.71-2.83
U 0.4682 0.1607 0.3263  6 Se 2.71-2.83
U 0.0318 0.6737 0.8393  6 Se 2.71-2.83
U 0.5318 0.8393 0.6737  6 Se 2.71-2.83
Cu 0.7500 0.9059 0.0941  4 Se 2.60-2.67
Cu 0.2500 0.0941 0.9059  4 Se 2.60-2.67

Values from the calculation:
Its total moment is 0.200 μB/atom. The formation energy from raw total energies is -0.919 eV/atom. The calculation puts the density of states at the Fermi level at 7.19 states/eV/f.u.